Y2BiWCl | PBE | optimized geometry

**M_tot**: 1.990 μB/f.u.
**Energy relative to the elements, uncorrected**: 0.6442 eV per atom
**Space-group type**: No. 123

Unit cell a=5.022 b=5.423 c=5.022 alpha=90.00 beta=90.00 gamma=90.00
Positions (direct):
Y (0.500, 0.000, 0.000)
Y (0.000, 0.000, 0.500)
W (0.500, 0.500, 0.500)
Bi (0.000, 0.500, 0.000)
Cl (0.000, 0.000, 0.000)